This record from Alexandria via LeMat-Bulk describes AlVTeO2 after structural relaxation. The functional is PBE with a Hubbard U.

As for the calculated total energy: -4.52 eV per atom. The theoretical density is 4.3 g/cm³. For the volume, the calculation gives 91.78 Å³/f.u.

The space group is P4/mmm (No. 123) and the conventional cell measures 4.067, 4.067 and 5.549 Å, with angles of 90.00, 90.00 and 90.00 degrees. The inequivalent atoms are Al at (0.000, 0.000, 0.000), V at (0.500, 0.500, 0.000), Te at (0.000, 0.000, 0.500) and O at (0.000, 0.500, 0.500).